Ca2Nb2CoO8 after structural relaxation. Source: Alexandria, functional PBE with a Hubbard U.

## Properties
The space group is No. 15. The total magnetic moment is 6.09 Bohr magnetons per cell. As for the energy: -7.785 eV/atom. For the volume, the calculation gives 164.8 Å³/f.u.

Cell lengths 10.0433, 10.0433, 5.5045 Å; angles 91.53, 91.53, 36.43 degrees
Fractional positions:
Ca  0.0149  0.4007  0.2432
Ca  0.4007  0.0149  0.7432
Ca  0.5993  0.9851  0.2568
Ca  0.9851  0.5993  0.7568
Nb  0.2323  0.5466  0.2408
Nb  0.4534  0.7677  0.2592
Nb  0.5466  0.2323  0.7408
Nb  0.7677  0.4534  0.7592
Co  0.1418  0.8582  0.7500
Co  0.8582  0.1418  0.2500
O  0.0406  0.3263  0.8456
O  0.0884  0.7999  0.4180
O  0.2001  0.9116  0.0820
O  0.2606  0.3740  0.4827
O  0.2995  0.5600  0.9045
O  0.3263  0.0406  0.3456
O  0.3740  0.2606  0.9827
O  0.4400  0.7005  0.5955
O  0.5600  0.2995  0.4045
O  0.6260  0.7394  0.0173
O  0.6737  0.9594  0.6544
O  0.7005  0.4400  0.0955
O  0.7394  0.6260  0.5173
O  0.7999  0.0884  0.9180
O  0.9116  0.2001  0.5820
O  0.9594  0.6737  0.1544